Material: Rb2Pu2AuSe6
Method: DFT, PBE
State: relaxed

The structure belongs to space group C2/m (No. 12); the cell edges are 6.8051, 13.2241 and 8.5118 Å and the angles 90.00°, 104.64° and 90.00°. The inequivalent atoms are Rb at (0.0000, 0.1500, 0.0000), Pu at (0.0000, 0.3374, 0.5000), Au at (0.0000, 0.0000, 0.5000), Se at (0.2403, 0.1893, 0.6971) and Se at (0.2431, 0.5000, 0.6727).

Its total energy is -5.988 eV per atom. For the density of states at the Fermi level, the calculation gives 35.72 states/eV/cell.

***

Material: PrSm2InC
Method: DFT, PBE
State: relaxed

The structure belongs to space group P4/mmm (No. 123); the cell edges are 5.0641, 5.0641 and 5.1670 Å and the angles 90.00°, 90.00° and 90.00°. The inequivalent atoms are Pr at (0.0000, 0.0000, 0.0000), Sm at (0.0000, 0.5000, 0.5000), In at (0.5000, 0.5000, 0.0000) and C at (0.0000, 0.0000, 0.5000).

The value obtained for the energy of formation is -0.3477 eV/atom. For the density of states at the Fermi level, the calculation gives 2.10 states/eV/cell.

***

Material: Sr2NdNpN4
Method: DFT, PBE
State: relaxed

The structure belongs to space group P2/m (No. 10); the cell edges are 6.2352, 3.6356 and 6.3550 Å and the angles 90.00°, 109.02° and 90.00°. The inequivalent atoms are Sr at (0.0000, 0.0000, 0.0000), Sr at (0.5000, 0.5000, 0.0000), Nd at (0.0000, 0.5000, 0.5000), Np at (0.5000, 0.0000, 0.5000), N at (0.2764, 0.0000, 0.6985) and N at (0.2806, 0.5000, 0.2927).

Its total energy is -7.866 eV per atom. For the density of states at the Fermi level, the calculation gives 5.01 states/eV/cell.

***

Material: GeSb2Pd4
Method: DFT, PBE
State: relaxed

The structure belongs to space group I4/mmm (No. 139); the cell edges are 4.6972, 4.6972 and 13.5812 Å and the angles 90.00°, 90.00° and 90.00°. The inequivalent atoms are Ge at (0.0000, 0.0000, 0.0000), Sb at (0.0000, 0.0000, 0.3696), Pd at (0.0000, 0.0000, 0.1758) and Pd at (0.0000, 0.5000, 0.0000).

Its total energy is -4.819 eV per atom. For the density of states at the Fermi level, the calculation gives 4.00 states/eV/cell.